No. 1
This record from the Alexandria database describes an optimized crystal structure of BiN2Cl. The functional is GGA-PBE.

Geometry as CIF:
```
data_BiN2Cl
_chemical_formula_sum 'Bi2 N4 Cl2'
_cell_length_a 6.059
_cell_length_b 6.059
_cell_length_c 6.059
_cell_angle_alpha 120.97
_cell_angle_beta 120.97
_cell_angle_gamma 88.33
_symmetry_space_group_name_H-M 'P 1'
_symmetry_Int_Tables_number 1
loop_
_symmetry_equiv_pos_as_xyz
'x,y,z'
loop_
_atom_site_label
_atom_site_fract_x
_atom_site_fract_y
_atom_site_fract_z
Bi1 0.000 0.000 0.000
Bi2 0.750 0.250 0.500
N1 0.083 0.625 0.958
N2 0.375 0.333 0.458
N3 0.667 0.125 0.042
N4 0.875 0.917 0.542
Cl1 0.250 0.750 0.500
Cl2 0.500 0.500 0.000
```

Computed properties:
SG: I-42d
Size of the total moment (μB/f.u.): 0.00
Energy relative to the lowest polymorph listed for this composition (eV/atom): 1.792

---

No. 2
This record from the Alexandria database describes an optimized crystal structure of Na2SiMo. The functional is GGA-PBE.

Geometry as CIF:
```
data_Na2SiMo
_chemical_formula_sum 'Na4 Si2 Mo2'
_cell_length_a 6.566
_cell_length_b 6.566
_cell_length_c 6.566
_cell_angle_alpha 98.66
_cell_angle_beta 98.66
_cell_angle_gamma 134.33
_symmetry_space_group_name_H-M 'P 1'
_symmetry_Int_Tables_number 1
loop_
_symmetry_equiv_pos_as_xyz
'x,y,z'
loop_
_atom_site_label
_atom_site_fract_x
_atom_site_fract_y
_atom_site_fract_z
Na1 0.085 0.625 0.960
Na2 0.375 0.335 0.460
Na3 0.665 0.125 0.040
Na4 0.875 0.915 0.540
Si1 0.000 0.000 0.000
Si2 0.750 0.250 0.500
Mo1 0.250 0.750 0.500
Mo2 0.500 0.500 0.000
```

Computed properties:
DFT total energy (eV for the cell shown): -30.2
SG: I-42d
Size of the total moment (μB/f.u.): 2.79

---

No. 3
This record from the Alexandria database describes an optimized crystal structure of FeHgAs. The functional is GGA-PBE.

Geometry as CIF:
```
data_FeHgAs
_chemical_formula_sum 'Fe1 Hg1 As1'
_cell_length_a 4.341
_cell_length_b 4.341
_cell_length_c 4.341
_cell_angle_alpha 60.00
_cell_angle_beta 60.00
_cell_angle_gamma 60.00
_symmetry_space_group_name_H-M 'P 1'
_symmetry_Int_Tables_number 1
loop_
_symmetry_equiv_pos_as_xyz
'x,y,z'
loop_
_atom_site_label
_atom_site_fract_x
_atom_site_fract_y
_atom_site_fract_z
Fe1 0.000 0.000 0.000
Hg1 0.250 0.250 0.250
As1 0.750 0.750 0.750
```

Computed properties:
SG: F-43m
ΔE_f (eV per formula unit): 1.1
Size of the total moment (μB/f.u.): 2.56
Energy relative to the lowest polymorph listed for this composition (eV/atom): 0.158

---

No. 4
This record from the Alexandria database describes an optimized crystal structure of Er2SbSe2. The functional is GGA-PBE.

Geometry as CIF:
```
data_Er2SbSe2
_chemical_formula_sum 'Er4 Sb2 Se4'
_cell_length_a 7.195
_cell_length_b 7.195
_cell_length_c 6.585
_cell_angle_alpha 109.99
_cell_angle_beta 109.99
_cell_angle_gamma 94.75
_symmetry_space_group_name_H-M 'P 1'
_symmetry_Int_Tables_number 1
loop_
_symmetry_equiv_pos_as_xyz
'x,y,z'
loop_
_atom_site_label
_atom_site_fract_x
_atom_site_fract_y
_atom_site_fract_z
Er1 0.097 0.903 0.750
Er2 0.323 0.677 0.250
Er3 0.677 0.323 0.750
Er4 0.903 0.097 0.250
Sb1 0.380 0.620 0.750
Sb2 0.620 0.380 0.250
Se1 0.079 0.281 0.028
Se2 0.281 0.079 0.528
Se3 0.719 0.921 0.472
Se4 0.921 0.719 0.972
```

Computed properties:
DFT total energy (eV for the cell shown): -52.7
SG: C2/c
Size of the total moment (μB/f.u.): 0.00

---

No. 5
This record from the Alexandria database describes an optimized crystal structure of YHo5Tl3. The functional is GGA-PBE.

Geometry as CIF:
```
data_YHo5Tl3
_chemical_formula_sum 'Y2 Ho10 Tl6'
_cell_length_a 9.331
_cell_length_b 9.331
_cell_length_c 6.719
_cell_angle_alpha 90.00
_cell_angle_beta 90.00
_cell_angle_gamma 120.00
_symmetry_space_group_name_H-M 'P 1'
_symmetry_Int_Tables_number 1
loop_
_symmetry_equiv_pos_as_xyz
'x,y,z'
loop_
_atom_site_label
_atom_site_fract_x
_atom_site_fract_y
_atom_site_fract_z
Y1 0.000 0.000 0.000
Y2 0.000 0.000 0.500
Ho1 0.000 0.336 0.250
Ho2 0.000 0.664 0.750
Ho3 0.333 0.667 0.000
Ho4 0.333 0.667 0.500
Ho5 0.336 0.000 0.250
Ho6 0.336 0.336 0.750
Ho7 0.664 0.000 0.750
Ho8 0.664 0.664 0.250
Ho9 0.667 0.333 0.000
Ho10 0.667 0.333 0.500
Tl1 0.000 0.331 0.750
Tl2 0.000 0.669 0.250
Tl3 0.331 0.000 0.750
Tl4 0.331 0.331 0.250
Tl5 0.669 0.000 0.250
Tl6 0.669 0.669 0.750
```

Computed properties:
SG: P6_3/mcm
ΔE_f (eV per formula unit): -2.3
Size of the total moment (μB/f.u.): 0.95

---

No. 6
This record from the Alexandria database describes an optimized crystal structure of AcTlCl. The functional is GGA-PBE.

Geometry as CIF:
```
data_AcTlCl
_chemical_formula_sum 'Ac2 Tl2 Cl2'
_cell_length_a 4.912
_cell_length_b 4.912
_cell_length_c 9.607
_cell_angle_alpha 104.80
_cell_angle_beta 104.80
_cell_angle_gamma 60.01
_symmetry_space_group_name_H-M 'P 1'
_symmetry_Int_Tables_number 1
loop_
_symmetry_equiv_pos_as_xyz
'x,y,z'
loop_
_atom_site_label
_atom_site_fract_x
_atom_site_fract_y
_atom_site_fract_z
Ac1 0.083 0.083 0.251
Ac2 0.917 0.917 0.749
Tl1 0.354 0.354 0.063
Tl2 0.646 0.646 0.937
Cl1 0.201 0.201 0.602
Cl2 0.799 0.799 0.398
```

Computed properties:
DFT total energy (eV for the cell shown): -24.1
SG: C2/m
Size of the total moment (μB/f.u.): 0.00

---

No. 7
This record from the Alexandria database describes an optimized crystal structure of Sr2BiRuN. The functional is GGA-PBE.

Geometry as CIF:
```
data_Sr2BiRuN
_chemical_formula_sum 'Sr2 Bi1 Ru1 N1'
_cell_length_a 5.590
_cell_length_b 5.590
_cell_length_c 3.870
_cell_angle_alpha 90.00
_cell_angle_beta 90.00
_cell_angle_gamma 90.00
_symmetry_space_group_name_H-M 'P 1'
_symmetry_Int_Tables_number 1
loop_
_symmetry_equiv_pos_as_xyz
'x,y,z'
loop_
_atom_site_label
_atom_site_fract_x
_atom_site_fract_y
_atom_site_fract_z
Sr1 0.000 0.500 0.000
Sr2 0.500 0.000 0.000
Bi1 0.000 0.000 0.500
Ru1 0.500 0.500 0.500
N1 0.500 0.500 0.000
```

Computed properties:
DFT total energy (eV for the cell shown): -27.2
SG: P4/mmm
Size of the total moment (μB/f.u.): 0.00

---

No. 8
This record from the Alexandria database describes an optimized crystal structure of AcSbPRh6. The functional is GGA-PBE.

Geometry as CIF:
```
data_AcSbPRh6
_chemical_formula_sum 'Ac2 Sb2 P2 Rh12'
_cell_length_a 7.984
_cell_length_b 7.984
_cell_length_c 7.984
_cell_angle_alpha 128.89
_cell_angle_beta 112.99
_cell_angle_gamma 88.95
_symmetry_space_group_name_H-M 'P 1'
_symmetry_Int_Tables_number 1
loop_
_symmetry_equiv_pos_as_xyz
'x,y,z'
loop_
_atom_site_label
_atom_site_fract_x
_atom_site_fract_y
_atom_site_fract_z
Ac1 0.435 0.185 0.250
Ac2 0.565 0.815 0.750
Sb1 0.000 0.000 0.500
Sb2 0.000 0.500 0.000
P1 0.000 0.500 0.500
P2 0.500 0.500 0.000
Rh1 0.114 0.370 0.239
Rh2 0.114 0.875 0.744
Rh3 0.169 0.919 0.250
Rh4 0.307 0.557 0.750
Rh5 0.369 0.125 0.739
Rh6 0.369 0.630 0.244
Rh7 0.631 0.370 0.756
Rh8 0.631 0.875 0.261
Rh9 0.693 0.443 0.250
Rh10 0.831 0.081 0.750
Rh11 0.886 0.125 0.256
Rh12 0.886 0.630 0.761
```

Computed properties:
DFT total energy (eV for the cell shown): -119.3
SG: Imma
Size of the total moment (μB/f.u.): 0.00

---

Volume per entry: 154.9, 186.6, 57.9, 293.3, 506.7, 191.8, 120.9, 346.0 Å³/cell